## ZnCu2Ag (PBE-GGA)

Data for a geometry-optimized ZnCu2Ag structure.

Unit cell a=2.8555 b=2.8555 c=6.8827 alpha=90.00 beta=90.00 gamma=90.00
Last column: nearest neighbours and their distance in Å.
Positions (direct):
Zn 0.0000 0.0000 0.0000  4 Cu 2.57, 4 Ag 2.80, 4 Zn 2.86
Cu 0.0000 0.0000 0.5520  4 Cu 2.51, 4 Ag 2.74
Cu 0.5000 0.5000 0.7687  4 Cu 2.51, 4 Zn 2.57
Ag 0.5000 0.5000 0.2821  4 Cu 2.74, 4 Zn 2.80, 4 Ag 2.86

## Properties
calculated density	8887	kg/m3
calculated total energy	-3.07	eV per atom
formation energy	0.012	eV/atom

## Zn2CuAg2 (PBE-GGA)

Data for a geometry-optimized Zn2CuAg2 structure.

Unit cell a=7.3580 b=7.3580 c=7.3580 alpha=152.44 beta=152.44 gamma=39.37
Last column: nearest neighbours and their distance in Å.
Positions (direct):
Zn 0.2500 0.7500 0.5000  4 Zn 2.48, 4 Ag 2.74
Zn 0.7500 0.2500 0.5000  4 Zn 2.48, 4 Ag 2.74
Cu 0.0000 0.0000 0.0000  8 Ag 2.82
Ag 0.4022 0.4022 0.0000  1 Ag 2.71, 4 Zn 2.74, 4 Cu 2.82
Ag 0.5978 0.5978 0.0000  1 Ag 2.71, 4 Zn 2.74, 4 Cu 2.82

## Properties
calculated density	8000	kg/m3
calculated total energy	-2.28	eV per atom
ΔE to the lowest computed polymorph	136	meV per atom
formation energy	0.192	eV/atom

## Zn8Cu4Ag (PBE-GGA)

Data for a geometry-optimized Zn8Cu4Ag structure.

Unit cell a=6.6115 b=6.6115 c=6.6115 alpha=98.20 beta=98.20 gamma=135.61
Last column: nearest neighbours and their distance in Å.
Positions (direct):
Zn 0.0000 0.2157 0.2157  4 Cu 2.52, 4 Zn 2.64-2.71
Zn 0.0000 0.7843 0.7843  4 Cu 2.52, 4 Zn 2.64-2.71
Zn 0.1632 0.5000 0.6632  4 Cu 2.61, 5 Zn 2.71-2.84, 1 Ag 2.92
Zn 0.2157 0.0000 0.2157  4 Cu 2.52, 4 Zn 2.64-2.71
Zn 0.5000 0.1632 0.6632  4 Cu 2.61, 5 Zn 2.71-2.84, 1 Ag 2.92
Zn 0.5000 0.8368 0.3368  4 Cu 2.61, 5 Zn 2.71-2.84, 1 Ag 2.92
Zn 0.7843 0.0000 0.7843  4 Cu 2.52, 4 Zn 2.64-2.71
Zn 0.8368 0.5000 0.3368  4 Cu 2.61, 5 Zn 2.71-2.84, 1 Ag 2.92
Cu 0.0000 0.0000 0.5000  2 Cu 2.50, 8 Zn 2.52-2.61
Cu 0.0000 0.5000 0.0000  2 Cu 2.50, 8 Zn 2.52-2.61
Cu 0.5000 0.0000 0.0000  2 Cu 2.50, 8 Zn 2.52-2.61
Cu 0.5000 0.5000 0.5000  2 Cu 2.50, 8 Zn 2.52-2.61
Ag 0.5000 0.5000 0.0000  12 Zn 2.92-3.12

## Properties
calculated density	7853	kg/m3
calculated total energy	-2.32	eV per atom
formation energy	-0.056	eV/atom

## Zn2CuAg (PBE-GGA)

Data for a geometry-optimized Zn2CuAg structure.

Unit cell a=4.9442 b=4.9442 c=4.9442 alpha=140.38 beta=128.96 gamma=66.48
Last column: nearest neighbours and their distance in Å.
Positions (direct):
Zn 0.2383 0.2383 0.0000  2 Cu 2.59, 4 Zn 2.72, 2 Ag 2.74
Zn 0.7617 0.7617 0.0000  2 Cu 2.59, 4 Zn 2.72, 2 Ag 2.74
Cu 0.0000 0.5000 0.5000  4 Zn 2.59, 4 Ag 2.71
Ag 0.5000 0.0000 0.5000  4 Cu 2.71, 8 Zn 2.74-2.90

## Properties
calculated density	8501	kg/m3
calculated total energy	-2.39	eV per atom
formation energy	-0.018	eV/atom

## ZnCuAg2 (PBE-GGA)

Data for a geometry-optimized ZnCuAg2 structure.

Unit cell a=2.9400 b=2.9400 c=7.2594 alpha=90.00 beta=90.00 gamma=90.00
Last column: nearest neighbours and their distance in Å.
Positions (direct):
Zn 0.0000 0.0000 0.0000  8 Ag 2.79, 4 Zn 2.94
Cu 0.0000 0.0000 0.5000  8 Ag 2.73, 4 Cu 2.94
Ag 0.5000 0.5000 0.2559  4 Cu 2.73, 4 Zn 2.79, 4 Ag 2.94
Ag 0.5000 0.5000 0.7441  4 Cu 2.73, 4 Zn 2.79, 4 Ag 2.94

## Properties
calculated density	9122	kg/m3
calculated total energy	-2.73	eV per atom
formation energy	0.040	eV/atom

## Zn6CuAg5 (PBE-GGA)

Data for a geometry-optimized Zn6CuAg5 structure.

Unit cell a=7.5180 b=7.5180 c=4.0322 alpha=105.49 beta=105.49 gamma=109.79
Last column: nearest neighbours and their distance in Å.
Positions (direct):
Zn 0.0830 0.4071 0.7447  1 Cu 2.74, 7 Ag 2.75-2.89, 4 Zn 2.84-2.96
Zn 0.2403 0.2403 0.2401  2 Cu 2.73, 6 Ag 2.73-2.85, 4 Zn 2.84
Zn 0.4071 0.0830 0.7447  1 Cu 2.74, 7 Ag 2.75-2.89, 4 Zn 2.84-2.96
Zn 0.5929 0.9170 0.2553  1 Cu 2.74, 7 Ag 2.75-2.89, 4 Zn 2.84-2.96
Zn 0.7597 0.7597 0.7599  2 Cu 2.73, 6 Ag 2.73-2.85, 4 Zn 2.84
Zn 0.9170 0.5929 0.2553  1 Cu 2.74, 7 Ag 2.75-2.89, 4 Zn 2.84-2.96
Cu 0.0000 0.0000 0.5000  8 Zn 2.73-2.74, 4 Ag 2.85
Ag 0.1642 0.8358 0.0000  8 Zn 2.73-2.89, 2 Cu 2.85, 2 Ag 2.90
Ag 0.3336 0.6664 0.5000  8 Zn 2.80-2.85, 4 Ag 2.87-2.90
Ag 0.5000 0.5000 0.0000  8 Zn 2.79-2.84, 4 Ag 2.87
Ag 0.6664 0.3336 0.5000  8 Zn 2.80-2.85, 4 Ag 2.87-2.90
Ag 0.8358 0.1642 0.0000  8 Zn 2.73-2.89, 2 Cu 2.85, 2 Ag 2.90

## Properties
calculated density	8702	kg/m3
calculated total energy	-2.19	eV per atom
formation energy	-0.026	eV/atom

## Zn2CuAg (PBE-GGA)

Data for a geometry-optimized Zn2CuAg structure.

Unit cell a=4.8813 b=4.8813 c=4.8813 alpha=134.38 beta=133.84 gamma=66.92
Last column: nearest neighbours and their distance in Å.
Positions (direct):
Zn 0.0000 0.0000 0.0000  4 Cu 2.69, 4 Zn 2.78-2.79, 4 Ag 2.78-2.79
Zn 0.7496 0.2496 0.5000  4 Ag 2.69, 4 Cu 2.77-2.80, 4 Zn 2.78-2.79
Cu 0.5012 0.5012 0.0000  8 Zn 2.69-2.80, 4 Ag 2.78-2.79
Ag 0.2508 0.7508 0.5000  8 Zn 2.69-2.79, 4 Cu 2.78-2.79

## Properties
calculated density	8508	kg/m3
calculated total energy	-2.41	eV per atom
formation energy	-0.032	eV/atom

## Zn2CuAg (PBE-GGA)

Data for a geometry-optimized Zn2CuAg structure.

Unit cell a=5.1261 b=5.1261 c=5.1261 alpha=144.52 beta=130.29 gamma=62.55
Last column: nearest neighbours and their distance in Å.
Positions (direct):
Zn 0.0000 0.0000 0.0000  4 Cu 2.66, 2 Zn 2.71, 2 Ag 2.77
Zn 0.7473 0.2473 0.5000  2 Cu 2.56, 4 Ag 2.66, 2 Zn 2.71
Cu 0.5157 0.5157 0.0000  6 Zn 2.56-2.66, 2 Ag 2.72
Ag 0.2609 0.7609 0.5000  6 Zn 2.66-2.77, 2 Cu 2.72

## Properties
calculated density	8510	kg/m3
calculated total energy	-2.39	eV per atom
formation energy	-0.019	eV/atom